[1]
DFT (PBE-GGA) results for a relaxed structure of TbPm5Te8.

Output
* formation energy (no corrections): -19.52 eV/f.u.

Cell lengths 8.197, 8.197, 8.197 Å; angles 109.68, 109.68, 109.06 degrees
Atoms (fractional coordinates):
Tb 0.000 0.000 0.000
Pm 0.255 0.125 0.631
Pm 0.376 0.745 0.870
Pm 0.494 0.624 0.369
Pm 0.750 0.250 0.500
Pm 0.875 0.506 0.130
Te 0.122 0.370 0.393
Te 0.124 0.375 0.899
Te 0.271 0.878 0.247
Te 0.475 0.225 0.101
Te 0.625 0.525 0.749
Te 0.630 0.023 0.753
Te 0.775 0.876 0.251
Te 0.977 0.729 0.607

***

[2]
DFT (PBE-GGA) results for a relaxed structure of TbPm3Te4.

Output
* formation energy (no corrections): -10.92 eV/f.u.

Cell lengths 4.343, 4.343, 30.420 Å; angles 90.00, 90.00, 120.00 degrees
Atoms (fractional coordinates):
Tb 0.333 0.667 0.250
Tb 0.667 0.333 0.750
Pm 0.000 0.000 0.000
Pm 0.000 0.000 0.500
Pm 0.333 0.667 0.625
Pm 0.333 0.667 0.875
Pm 0.667 0.333 0.125
Pm 0.667 0.333 0.375
Te 0.000 0.000 0.188
Te 0.000 0.000 0.312
Te 0.000 0.000 0.688
Te 0.000 0.000 0.812
Te 0.333 0.667 0.063
Te 0.333 0.667 0.437
Te 0.667 0.333 0.563
Te 0.667 0.333 0.937

***

[3]
DFT (PBE-GGA) results for a relaxed structure of Tb2PmTh3Te6.

Output
* formation energy (no corrections): -13.99 eV/f.u.

Cell lengths 10.187, 10.187, 9.143 Å; angles 109.26, 109.26, 24.42 degrees
Atoms (fractional coordinates):
Tb 0.167 0.167 0.330
Tb 0.833 0.833 0.670
Pm 0.500 0.500 0.000
Th 0.164 0.164 0.829
Th 0.500 0.500 0.500
Th 0.836 0.836 0.171
Te 0.004 0.004 0.249
Te 0.331 0.331 0.426
Te 0.333 0.333 0.911
Te 0.667 0.667 0.089
Te 0.669 0.669 0.574
Te 0.996 0.996 0.751

***

E_tot across the listed records, respectively: -5.217 -5.297 -5.760 eV/atom.
DOS at the Fermi energy across the listed records, respectively: 9.56 10.13 9.81 states/eV/cell.